Density functional theory data (PBE-GGA) for a geometry-optimized AcScCu2 structure.

Results
Final energy in eV/f.u.: -19.25
Energy relative to the lowest polymorph listed for this composition in eV/atom: 0.000

Cell and atoms, written as CIF:
```
data_AcScCu2
_chemical_formula_sum 'Ac3 Sc3 Cu6'
_cell_length_a 4.6190
_cell_length_b 4.6190
_cell_length_c 15.4422
_cell_angle_alpha 90.00
_cell_angle_beta 90.00
_cell_angle_gamma 120.00
_space_group_name_H-M_alt 'R -3 m'
_space_group_IT_number 166
_space_group_name_Hall '-R 3 2"'
loop_
_atom_site_label
_atom_site_fract_x
_atom_site_fract_y
_atom_site_fract_z
Ac1 0.0000 0.0000 0.0000
Sc1 0.0000 0.0000 0.5000
Cu1 0.0000 0.0000 0.1976
```